Record 1
Compound: K2ZnF
Source: Alexandria via LeMat-Bulk
Functional: GGA-PBEsol
Structure: optimized geometry

Unit cell a=7.644 b=7.644 c=7.644 alpha=90.00 beta=90.00 gamma=90.00
Space group Fm-3m (No. 225)
Asymmetric unit:
1 K 0.250 0.250 0.250
2 Zn 0.000 0.000 0.000
3 F 0.000 0.000 0.500

## Properties
Crystal system: cubic
Formation energy without anion corrections: -0.73 eV/atom


Record 2
Compound: YZnCl2
Source: Alexandria via LeMat-Bulk
Functional: GGA-PBEsol
Structure: optimized geometry

Unit cell a=3.981 b=3.981 c=10.078 alpha=90.00 beta=90.00 gamma=90.00
Space group I-4m2 (No. 119)
Asymmetric unit:
1 Y 0.000 0.000 0.000
2 Zn 0.000 0.500 0.250
3 Cl 0.000 0.000 0.500
4 Cl 0.000 0.500 0.750

## Properties
Crystal system: tetragonal
Formation energy without anion corrections: -0.94 eV/atom


Record 3
Compound: TlZnCo
Source: Alexandria via LeMat-Bulk
Functional: GGA-PBEsol
Structure: optimized geometry

Unit cell a=5.914 b=5.914 c=5.914 alpha=90.00 beta=90.00 gamma=90.00
Space group F-43m (No. 216)
Asymmetric unit:
1 Tl 0.000 0.000 0.000
2 Zn 0.000 0.000 0.500
3 Co 0.250 0.250 0.750

## Properties
ΔH_f (0 K): 0.39 eV per atom
Crystal system: cubic


no.,magnetization (μB/cell),calculated total energy (eV per atom)
1,3.1,-2.17
2,0.0,-4.05
3,0.0,-3.60